NdGaTe | PBE | optimized geometry

- Formation energy from raw total energies: -0.711 eV per atom
- Calculated density: 6.3 g/cm³
- Total moment: 0.0 μB/cell
- Space group: P4/nmm, No. 129

Lattice parameters (Å, degrees): 4.2730 4.2730 9.8338 90.00 90.00 90.00
Last column: nearest neighbours and their distance in Å.
Element x y z (fractional)
1 Nd 0.0000 0.5000 0.6218  5 Te 3.14-3.25
2 Nd 0.5000 0.0000 0.3782  5 Te 3.14-3.25
3 Te 0.5000 0.0000 0.7088  1 Ga 2.90, 5 Nd 3.14-3.25
4 Te 0.0000 0.5000 0.2912  1 Ga 2.90, 5 Nd 3.14-3.25
5 Ga 0.0000 0.5000 0.9959  1 Te 2.90, 4 Ga 3.02
6 Ga 0.5000 0.0000 0.0041  1 Te 2.90, 4 Ga 3.02

Rb2NaCuOs | PBE | optimized geometry

- Calculated density: 3.5 g/cm³
- Formation enthalpy at 0 K: 1639 meV per atom
- Total moment: 2.6 μB/cell
- Space group: P4/mmm, No. 123

Lattice parameters (Å, degrees): 6.5368 4.9626 6.5368 90.00 90.00 90.00
Last column: nearest neighbours and their distance in Å.
Element x y z (fractional)
1 Na 0.0000 0.0000 0.0000  2 Cu 2.48
2 Os 0.5000 0.5000 0.5000  8 Rb 4.10
3 Cu 0.0000 0.5000 0.0000  2 Na 2.48
4 Rb 0.0000 0.0000 0.5000  2 Na 3.27
5 Rb 0.5000 0.0000 0.0000  2 Na 3.27

CoSi2Se | PBE | optimized geometry

- Formation energy from raw total energies: 0.162 eV per atom
- Calculated density: 5.0 g/cm³
- Total moment: 0.0 μB/cell
- Space group: Pmm2, No. 25

Lattice parameters (Å, degrees): 2.7048 3.3739 7.0646 90.00 90.00 90.00
Last column: nearest neighbours and their distance in Å.
Element x y z (fractional)
1 Co 0.0000 0.0000 0.4387  5 Si 2.38-2.46
2 Se 0.5000 0.5000 0.6728  1 Si 2.65, 2 Se 2.70, 4 Co 2.72
3 Si 0.0000 0.0000 0.0907  1 Co 2.46, 6 Si 2.61-2.70
4 Si 0.5000 0.5000 0.2978  4 Co 2.38, 4 Si 2.61, 1 Se 2.65

CeCd2GePd2 | PBE | optimized geometry

- Calculated density: 7.4 g/cm³
- Formation enthalpy at 0 K: -171 meV per atom
- Total moment: 1.1 μB/cell
- Space group: I4/mmm, No. 139

Lattice parameters (Å, degrees): 5.2849 5.2849 6.4528 114.17 114.17 90.00
Last column: nearest neighbours and their distance in Å.
Element x y z (fractional)
1 Ce 0.5000 0.5000 0.0000  2 Pd 2.87
2 Cd 0.2500 0.7500 0.5000  4 Pd 2.65
3 Cd 0.7500 0.2500 0.5000  4 Pd 2.65
4 Ge 0.0000 0.0000 0.0000  2 Pd 2.39
5 Pd 0.7726 0.7726 0.5451  1 Ge 2.39, 4 Cd 2.65
6 Pd 0.2274 0.2274 0.4549  1 Ge 2.39, 4 Cd 2.65

PmUBeN3 | PBE | optimized geometry

- Formation energy from raw total energies: -1.255 eV per atom
- Calculated density: 8.8 g/cm³
- Total moment: 3.0 μB/cell
- Space group: P2_1/m, No. 11

Lattice parameters (Å, degrees): 3.3233 7.1935 6.9290 100.22 90.00 90.00
Last column: nearest neighbours and their distance in Å.
Element x y z (fractional)
1 Pm 0.7500 0.8296 0.7909  7 N 2.48-2.68
2 Pm 0.2500 0.1704 0.2091  7 N 2.48-2.68
3 U 0.2500 0.6572 0.1869  6 N 2.24-2.36
4 U 0.7500 0.3428 0.8131  6 N 2.24-2.36
5 Be 0.2500 0.0736 0.5951  2 N 1.70-1.71
6 Be 0.7500 0.9264 0.4049  2 N 1.70-1.71
7 N 0.2500 0.8417 0.4906  1 Be 1.70
8 N 0.7500 0.8786 0.1541  1 Be 1.71
9 N 0.7500 0.4214 0.1402  3 U 2.24-2.36
10 N 0.7500 0.1583 0.5094  1 Be 1.70
11 N 0.2500 0.5786 0.8598  3 U 2.24-2.36
12 N 0.2500 0.1214 0.8459  1 Be 1.71

EuTlRh | PBE | optimized geometry

- Distance to the lowest polymorph of the same formula: 0.028 eV per atom
- Calculated density: 10.1 g/cm³
- Formation enthalpy at 0 K: -264 meV per atom
- Total moment: 7.1 μB/cell
- Space group: P-6m2, No. 187

Lattice parameters (Å, degrees): 3.9389 4.7022 4.7022 120.00 90.00 90.00
Last column: nearest neighbours and their distance in Å.
Element x y z (fractional)
1 Eu 0.6667 0.6667 0.3333  6 Tl 3.35, 6 Rh 3.35
2 Tl 0.1669 0.3333 0.6667  3 Rh 2.71
3 Rh 0.1664 0.0000 0.0000  3 Tl 2.71

NaGaPdF6 | PBE | optimized geometry

- Formation energy from raw total energies: -2.173 eV per atom
- Calculated density: 4.1 g/cm³
- Total moment: 4.0 μB/cell
- Space group: P-31c, No. 163

Lattice parameters (Å, degrees): 5.4872 5.4872 9.6495 90.00 90.00 120.00
Last column: nearest neighbours and their distance in Å.
Element x y z (fractional)
1 Na 0.0000 0.0000 0.0000  6 F 2.38
2 Na 0.0000 0.0000 0.5000  6 F 2.38
3 Ga 0.6667 0.3333 0.2500  6 F 1.93
4 Ga 0.3333 0.6667 0.7500  6 F 1.93
5 Pd 0.3333 0.6667 0.2500  6 F 2.21
6 Pd 0.6667 0.3333 0.7500  6 F 2.21
7 F 0.6620 0.6240 0.1387  1 Ga 1.93
8 F 0.9619 0.3380 0.1387  1 Ga 1.93
9 F 0.3380 0.9619 0.6387  1 Ga 1.93
10 F 0.0381 0.6620 0.8613  1 Ga 1.93
11 F 0.3760 0.3380 0.3613  1 Ga 1.93
12 F 0.9619 0.6240 0.3613  1 Ga 1.93
13 F 0.6240 0.9619 0.8613  1 Ga 1.93
14 F 0.6620 0.0381 0.3613  1 Ga 1.93
15 F 0.0381 0.3760 0.6387  1 Ga 1.93
16 F 0.3760 0.0381 0.1387  1 Ga 1.93
17 F 0.6240 0.6620 0.6387  1 Ga 1.93
18 F 0.3380 0.3760 0.8613  1 Ga 1.93

ScTa3Cr | PBE | optimized geometry

- Distance to the lowest polymorph of the same formula: 0.000 eV per atom
- Calculated density: 10.4 g/cm³
- Formation enthalpy at 0 K: 745 meV per atom
- Total moment: 0.0 μB/cell
- Space group: Pm-3m, No. 221

Lattice parameters (Å, degrees): 4.6710 4.6710 4.6710 90.00 90.00 90.00
Last column: nearest neighbours and their distance in Å.
Element x y z (fractional)
1 Sc 0.5000 0.5000 0.5000  12 Ta 3.30
2 Cr 0.0000 0.0000 0.0000  6 Ta 2.34
3 Ta 0.0000 0.5000 0.0000  2 Cr 2.34
4 Ta 0.0000 0.0000 0.5000  2 Cr 2.34
5 Ta 0.5000 0.0000 0.0000  2 Cr 2.34

Cs2BaSn2 | PBE | optimized geometry

- Distance to the lowest polymorph of the same formula: 0.026 eV per atom
- Calculated density: 4.0 g/cm³
- Formation enthalpy at 0 K: -156 meV per atom
- Total moment: 3.0 μB/cell
- Space group: P4/mbm, No. 127

Lattice parameters (Å, degrees): 9.0250 9.0250 6.4573 90.00 90.00 90.00
Last column: nearest neighbours and their distance in Å.
Element x y z (fractional)
1 Cs 0.1744 0.6744 0.5000  6 Sn 4.16-4.25, 1 Cs 4.45, 4 Ba 4.64
2 Cs 0.6744 0.8256 0.5000  6 Sn 4.16-4.25, 1 Cs 4.45, 4 Ba 4.64
3 Cs 0.8256 0.3256 0.5000  6 Sn 4.16-4.25, 1 Cs 4.45, 4 Ba 4.64
4 Cs 0.3256 0.1744 0.5000  6 Sn 4.16-4.25, 1 Cs 4.45, 4 Ba 4.64
5 Ba 0.0000 0.0000 0.0000  4 Sn 3.66
6 Ba 0.5000 0.5000 0.0000  4 Sn 3.66
7 Sn 0.3912 0.8912 0.0000  1 Sn 2.78
8 Sn 0.8912 0.6088 0.0000  1 Sn 2.78
9 Sn 0.6088 0.1088 0.0000  1 Sn 2.78
10 Sn 0.1088 0.3912 0.0000  1 Sn 2.78

Ho2Zn5Au3 | PBE | optimized geometry

- Distance to the lowest polymorph of the same formula: 0.000 eV per atom
- Calculated density: 10.9 g/cm³
- Formation enthalpy at 0 K: -482 meV per atom
- Total moment: 0.0 μB/cell
- Space group: Cmc2_1, No. 36

Lattice parameters (Å, degrees): 4.4702 6.8454 12.5740 90.00 100.24 90.00
Last column: nearest neighbours and their distance in Å.
Element x y z (fractional)
1 Ho 0.4850 0.7624 0.9701  5 Au 2.95-3.14, 6 Zn 3.08-3.28
2 Ho 0.1757 0.7186 0.3513  4 Au 3.08-3.23, 10 Zn 3.08-3.33
3 Ho 0.8243 0.2186 0.6487  4 Au 3.08-3.23, 10 Zn 3.08-3.33
4 Ho 0.5150 0.2624 0.0299  5 Au 2.95-3.14, 6 Zn 3.08-3.28
5 Zn 0.3922 0.4410 0.7843  1 Zn 2.52, 3 Au 2.64-2.78
6 Zn 0.2918 0.5060 0.5837  2 Zn 2.52-2.64, 3 Au 2.62-2.64
7 Zn 0.7082 0.0060 0.4163  2 Zn 2.52-2.64, 3 Au 2.62-2.64
8 Zn 0.1244 0.2689 0.2488  4 Au 2.67-2.92, 1 Zn 2.73
9 Zn 0.2962 0.8914 0.5924  4 Au 2.59-2.69, 1 Zn 2.64
10 Zn 0.9478 0.0710 0.8956  4 Au 2.63-2.77, 1 Zn 2.73
11 Zn 0.7038 0.3914 0.4076  4 Au 2.59-2.69, 1 Zn 2.64
12 Zn 0.8756 0.7689 0.7512  4 Au 2.67-2.92, 1 Zn 2.73
13 Zn 0.0522 0.5710 0.1044  4 Au 2.63-2.77, 1 Zn 2.73
14 Zn 0.6078 0.9410 0.2157  1 Zn 2.52, 3 Au 2.64-2.78
15 Au 0.7698 0.6945 0.5395  7 Zn 2.62-2.69
16 Au 0.6070 0.5350 0.2141  4 Zn 2.59-2.78
17 Au 0.0521 0.9761 0.1042  5 Zn 2.64-2.77
18 Au 0.2302 0.1945 0.4605  7 Zn 2.62-2.69
19 Au 0.9479 0.4761 0.8958  5 Zn 2.64-2.77
20 Au 0.3930 0.0350 0.7859  4 Zn 2.59-2.78

Q: Look up the calculated density of the eighth one.
A: 10.4 g/cm³

Q: What is the calculated density in the first record?
A: 6.3 g/cm³

Copy entry 6 word for word.
EuTlRh | PBE | optimized geometry

- Distance to the lowest polymorph of the same formula: 0.028 eV per atom
- Calculated density: 10.1 g/cm³
- Formation enthalpy at 0 K: -264 meV per atom
- Total moment: 7.1 μB/cell
- Space group: P-6m2, No. 187

Lattice parameters (Å, degrees): 3.9389 4.7022 4.7022 120.00 90.00 90.00
Last column: nearest neighbours and their distance in Å.
Element x y z (fractional)
1 Eu 0.6667 0.6667 0.3333  6 Tl 3.35, 6 Rh 3.35
2 Tl 0.1669 0.3333 0.6667  3 Rh 2.71
3 Rh 0.1664 0.0000 0.0000  3 Tl 2.71

What did the tenth record say?
Ho2Zn5Au3 | PBE | optimized geometry

- Distance to the lowest polymorph of the same formula: 0.000 eV per atom
- Calculated density: 10.9 g/cm³
- Formation enthalpy at 0 K: -482 meV per atom
- Total moment: 0.0 μB/cell
- Space group: Cmc2_1, No. 36

Lattice parameters (Å, degrees): 4.4702 6.8454 12.5740 90.00 100.24 90.00
Last column: nearest neighbours and their distance in Å.
Element x y z (fractional)
1 Ho 0.4850 0.7624 0.9701  5 Au 2.95-3.14, 6 Zn 3.08-3.28
2 Ho 0.1757 0.7186 0.3513  4 Au 3.08-3.23, 10 Zn 3.08-3.33
3 Ho 0.8243 0.2186 0.6487  4 Au 3.08-3.23, 10 Zn 3.08-3.33
4 Ho 0.5150 0.2624 0.0299  5 Au 2.95-3.14, 6 Zn 3.08-3.28
5 Zn 0.3922 0.4410 0.7843  1 Zn 2.52, 3 Au 2.64-2.78
6 Zn 0.2918 0.5060 0.5837  2 Zn 2.52-2.64, 3 Au 2.62-2.64
7 Zn 0.7082 0.0060 0.4163  2 Zn 2.52-2.64, 3 Au 2.62-2.64
8 Zn 0.1244 0.2689 0.2488  4 Au 2.67-2.92, 1 Zn 2.73
9 Zn 0.2962 0.8914 0.5924  4 Au 2.59-2.69, 1 Zn 2.64
10 Zn 0.9478 0.0710 0.8956  4 Au 2.63-2.77, 1 Zn 2.73
11 Zn 0.7038 0.3914 0.4076  4 Au 2.59-2.69, 1 Zn 2.64
12 Zn 0.8756 0.7689 0.7512  4 Au 2.67-2.92, 1 Zn 2.73
13 Zn 0.0522 0.5710 0.1044  4 Au 2.63-2.77, 1 Zn 2.73
14 Zn 0.6078 0.9410 0.2157  1 Zn 2.52, 3 Au 2.64-2.78
15 Au 0.7698 0.6945 0.5395  7 Zn 2.62-2.69
16 Au 0.6070 0.5350 0.2141  4 Zn 2.59-2.78
17 Au 0.0521 0.9761 0.1042  5 Zn 2.64-2.77
18 Au 0.2302 0.1945 0.4605  7 Zn 2.62-2.69
19 Au 0.9479 0.4761 0.8958  5 Zn 2.64-2.77
20 Au 0.3930 0.0350 0.7859  4 Zn 2.59-2.78